# 1
The following is a PBE calculation of a relaxed structure of K2CrIn, from Alexandria via LeMat-Bulk.

Cell lengths 3.5872, 3.5872, 11.1117 Å; angles 90.00, 90.00, 90.00 degrees
Closest atoms and distances in Å follow each position.
Element x y z (fractional)
Cr 0.5000 0.5000 0.2500  4 Cr 3.59, 8 K 3.73
In 0.5000 0.5000 0.7500  4 In 3.59, 8 K 3.79
K 0.0000 0.0000 0.0040  4 K 3.59, 4 Cr 3.73, 4 In 3.79
K 0.0000 0.0000 0.4960  4 K 3.59, 4 Cr 3.73, 4 In 3.79

## Properties
SG: No. 123
Energy of formation (eV per atom): 0.66

=====

# 2
The following is a PBE calculation of a relaxed structure of BH2I2, from Alexandria via LeMat-Bulk.

Cell lengths 7.8692, 7.8692, 3.9138 Å; angles 90.00, 90.00, 90.00 degrees
Closest atoms and distances in Å follow each position.
Element x y z (fractional)
I 0.2619 0.7619 0.5000  2 H 1.96
I 0.7619 0.7381 0.5000  2 H 1.96
I 0.7381 0.2381 0.5000  2 H 1.96
I 0.2381 0.2619 0.5000  2 H 1.96
H 0.2613 0.7613 0.0000  2 I 1.96
H 0.7613 0.7387 0.0000  2 I 1.96
H 0.7387 0.2387 0.0000  2 I 1.96
H 0.2387 0.2613 0.0000  2 I 1.96
B 0.0000 0.0000 0.0000  4 H 2.79
B 0.5000 0.5000 0.0000  4 H 2.79

## Properties
SG: No. 127
Offset from the most stable computed form (meV/atom): 1228

=====

Looking at calculated total energy for the records above, in order, we have -2.98, -2.07 eV per atom.